Computed, not measured: LaSn2Pd4Pt after structural relaxation at the PBE-GGA level of DFT.

Crystal system: trigonal
Energy of formation from the pure elements, kJ per mole of atoms: -55.8
Space group: R-3m, No. 166
Total magnetic moment, μB per atom: 0.000
DOS at the Fermi energy, states/eV per atom: 0.568

```
8
Lattice="2.269 1.310 8.855 -2.269 1.310 8.855 0.000 -2.620 8.855" Properties=species:S:1:pos:R:3 pbc="T T T"
La 0.000 0.000 0.000
Sn 0.000 0.000 6.240
Sn 0.000 0.000 20.325
Pd 0.000 0.000 3.372
Pd 0.000 0.000 10.547
Pd 0.000 0.000 16.018
Pd 0.000 0.000 23.194
Pt 0.000 0.000 13.283
```